The following is a PBE-GGA calculation of a geometry-optimized ZnMoBr structure, from Alexandria.

As for the magnetization: 0.000 μB per formula unit. As for the polymorph energy (0 for the lowest one): 239.6 meV/atom. The value obtained for the raw formation energy is 299.8 meV per atom.

abc: 3.144 3.144 6.685
angles: 90.00 90.00 120.00
Fractional coordinates of all 3 atoms:
Mo: 0.000 0.000 0.250
Zn: 0.333 0.667 0.548
Br: 0.667 0.333 0.974

The following is a PBE-GGA calculation of a geometry-optimized Th2BiTe structure, from Alexandria.

As for the magnetization: 0.000 μB per formula unit. As for the polymorph energy (0 for the lowest one): 81.0 meV/atom. The value obtained for the raw formation energy is -759.0 meV per atom.

abc: 4.250 4.250 8.774
angles: 75.98 75.98 60.00
Fractional coordinates of all 4 atoms:
Th: 0.083 0.083 0.751
Th: 0.250 0.250 0.249
Bi: 0.667 0.667 0.000
Te: 0.500 0.500 0.501